(1)
GGA-PBE LiZrHg3, optimized geometry; DOS at the Fermi energy = 5.67 states/eV/f.u.; M_tot = 0.00 μB/cell; ΔE to the lowest computed polymorph = 263 meV/atom
1.0
5.590 0.000 0.000
0.000 5.590 0.000
0.000 0.000 5.590
Li Zr Hg
1 1 3
Direct
0.000 0.000 0.000
0.500 0.500 0.500
0.000 0.500 0.500
0.500 0.000 0.500
0.500 0.500 0.000

---

(2)
GGA-PBE LiZr4Hg5, optimized geometry; DOS at the Fermi energy = 10.43 states/eV/f.u.; VASP energy = -3.9567 eV/atom; M_tot = 0.00 μB/cell
1.0
3.209 0.000 0.000
0.000 3.209 0.000
0.000 0.000 20.220
Li Zr Hg
1 4 5
Direct
0.000 0.000 0.000
0.000 0.000 0.188
0.000 0.000 0.396
0.000 0.000 0.604
0.000 0.000 0.812
0.500 0.500 0.084
0.500 0.500 0.292
0.500 0.500 0.500
0.500 0.500 0.708
0.500 0.500 0.916

---

(3)
GGA-PBE LuHg3, optimized geometry; DOS at the Fermi energy = 1.78 states/eV/f.u.; VASP energy = -1.5925 eV/atom; M_tot = 0.00 μB/cell
1.0
-2.612 2.612 3.422
2.612 -2.612 3.422
2.612 2.612 -3.422
Lu Hg
1 3
Direct
0.000 0.000 0.000
0.250 0.750 0.500
0.500 0.500 0.000
0.750 0.250 0.500

---

(4)
GGA-PBE Lu3Hg, optimized geometry; DOS at the Fermi energy = 5.91 states/eV/f.u.; M_tot = 0.00 μB/cell; ΔE to the lowest computed polymorph = 115 meV/atom
1.0
-2.318 2.318 4.879
2.318 -2.318 4.879
2.318 2.318 -4.879
Lu Hg
3 1
Direct
0.000 0.000 0.000
0.250 0.750 0.500
0.750 0.250 0.500
0.500 0.500 0.000